(1)
Dy4Y: relaxed, GGA-PBE.

Properties
- formation energy from the elements (eV/atom) = 0.74
- relative energy among the computed polymorphs (eV/atom) = 0.724

Cell: 5.632 5.632 5.632 Å, 90.00 90.00 90.00°
Last column: magnetic moment on the atom in μB.
Fractional positions:
Dy  0.500  0.500  0.000  0.07
Dy  0.000  0.000  0.000  0.03
Y  0.500  0.500  0.500  0.14
Dy  0.500  0.000  0.500  0.07
Dy  0.000  0.500  0.500  0.07

=====

(2)
Hg4C: relaxed, GGA-PBE.

Properties
- formation energy from the elements (eV/atom) = 1.37
- relative energy among the computed polymorphs (eV/atom) = 0.486

Cell: 8.514 8.514 8.514 Å, 152.08 152.08 39.90°
Last column: magnetic moment on the atom in μB.
Fractional positions:
Hg  0.750  0.250  0.500  0.01
Hg  0.250  0.750  0.500  0.01
Hg  0.589  0.589  0.000  0.01
C  0.000  0.000  0.000  0.92
Hg  0.411  0.411  0.000  0.01

=====

(3)
LaPm2In3: relaxed, GGA-PBE.

Properties
- formation energy from the elements (eV/atom) = -0.50

Cell: 5.490 8.687 7.767 Å, 90.00 90.00 71.58°
Fractional positions:
La  0.334  0.333  0.000
In  0.500  0.000  0.742
Pm  0.000  0.000  0.000
Pm  0.669  0.662  0.500
In  0.836  0.328  0.743
In  0.836  0.328  0.257
In  0.164  0.672  0.743
La  0.666  0.667  0.000
In  0.500  0.000  0.258
Pm  0.331  0.338  0.500
Pm  0.000  0.000  0.500
In  0.164  0.672  0.257

=====

(4)
La3ThRh3: relaxed, GGA-PBE.

Properties
- formation energy from the elements (eV/atom) = -0.70

Cell: 8.778 8.775 7.691 Å, 55.23 55.22 60.02°
Fractional positions:
Rh  0.548  0.313  0.191
La  0.641  0.876  0.303
La  0.124  0.820  0.697
Th  0.321  0.321  0.038
La  0.821  0.358  0.697
Th  0.679  0.679  0.962
Rh  0.452  0.687  0.809
Rh  0.313  0.947  0.191
La  0.179  0.642  0.303
La  0.359  0.124  0.697
Rh  0.053  0.452  0.809
La  0.876  0.180  0.303
Rh  0.947  0.548  0.191
Rh  0.687  0.053  0.809